No. 1
Here is a relaxed structure of MgFeBr2 from Alexandria via LeMat-Bulk. Energies are from GGA-PBE.

The structure in POSCAR format:
```
MgFeBr2
1.0
-1.732 -2.527 1.862
2.267 0.576 2.890
-3.585 5.451 4.063
Br Fe Mg
2 1 1
Direct
0.500 0.382 0.349 Br
0.000 0.120 0.893 Br
0.000 0.277 0.570 Fe
0.500 0.721 0.688 Mg
```

- formation energy (no corrections) (eV/f.u.) = -1.2

---

No. 2
Here is a relaxed structure of LaSi2Pd7 from Alexandria via LeMat-Bulk. Energies are from GGA-PBE.

The structure in POSCAR format:
```
LaSi2Pd7
1.0
-4.344 0.311 -1.339
1.851 -1.862 -6.436
-1.706 -5.157 4.338
Pd La Si
7 1 2
Direct
0.500 0.676 0.940 Pd
0.500 0.940 0.676 Pd
0.000 0.753 0.247 Pd
0.000 0.247 0.753 Pd
0.500 0.500 0.500 Pd
0.500 0.324 0.060 Pd
0.500 0.060 0.324 Pd
0.000 0.000 0.000 La
0.500 0.303 0.697 Si
0.500 0.697 0.303 Si
```

- formation energy (no corrections) (eV/f.u.) = -4.6

---

No. 3
Here is a relaxed structure of TaTl2Ru from Alexandria via LeMat-Bulk. Energies are from GGA-PBE.

The structure in POSCAR format:
```
TaTl2Ru
1.0
-2.896 -2.882 -3.293
-2.658 -3.659 2.661
0.485 5.184 0.657
Ta Ru Tl
1 1 2
Direct
0.750 0.250 0.500 Ta
0.500 0.500 0.000 Ru
0.250 0.750 0.500 Tl
0.000 0.000 0.000 Tl
```

- formation energy (meV/atom) = 683

---

No. 4
Here is a relaxed structure of PmGa2Ni4Ge from Alexandria via LeMat-Bulk. Energies are from GGA-PBE.

The structure in POSCAR format:
```
PmGa2Ni4Ge
1.0
4.081 0.000 0.000
2.040 3.534 0.000
2.040 1.178 8.464
Ni Ga Ge Pm
4 2 1 1
Direct
0.409 0.409 0.774 Ni
0.864 0.864 0.408 Ni
0.136 0.136 0.592 Ni
0.591 0.591 0.226 Ni
0.754 0.754 0.739 Ga
0.246 0.246 0.261 Ga
0.500 0.500 0.500 Ge
0.000 0.000 0.000 Pm
```

- formation energy (meV/atom) = -407

---

No. 5
Here is a relaxed structure of TbPmY5Tm2 from Alexandria via LeMat-Bulk. Energies are from GGA-PBE.

The structure in POSCAR format:
```
TbPmY5Tm2
1.0
-4.607 0.389 3.204
4.131 -9.421 2.144
5.664 4.220 7.632
Y Tm Pm Tb
10 4 2 2
Direct
0.699 0.397 0.206 Y
0.301 0.603 0.706 Y
0.724 0.447 0.818 Y
0.276 0.553 0.318 Y
0.523 0.045 0.237 Y
0.389 0.778 0.026 Y
0.984 0.968 0.522 Y
0.611 0.222 0.526 Y
0.016 0.032 0.022 Y
0.477 0.955 0.737 Y
0.112 0.224 0.734 Tm
0.888 0.776 0.234 Tm
0.112 0.225 0.320 Tm
0.888 0.775 0.820 Tm
0.804 0.609 0.516 Pm
0.196 0.391 0.016 Pm
0.588 0.176 0.946 Tb
0.412 0.824 0.446 Tb
```

- formation energy (meV/atom) = 159

---

No. 6
Here is a relaxed structure of CsNb6S8 from Alexandria via LeMat-Bulk. Energies are from GGA-PBE.

The structure in POSCAR format:
```
CsNb6S8
1.0
6.883 0.257 0.265
0.042 6.887 0.265
0.042 0.044 6.892
S Nb Cs
8 6 1
Direct
0.750 0.750 0.750 S
0.585 0.874 0.267 S
0.733 0.415 0.126 S
0.250 0.250 0.250 S
0.267 0.585 0.874 S
0.126 0.733 0.415 S
0.874 0.267 0.585 S
0.415 0.126 0.733 S
0.563 0.213 0.405 Nb
0.595 0.437 0.787 Nb
0.405 0.563 0.213 Nb
0.213 0.405 0.563 Nb
0.437 0.787 0.595 Nb
0.787 0.595 0.437 Nb
0.000 0.000 0.000 Cs
```

- formation energy (no corrections) (eV/f.u.) = -14.4

---

No. 7
Here is a relaxed structure of La4CuSe from Alexandria via LeMat-Bulk. Energies are from GGA-PBE.

The structure in POSCAR format:
```
La4CuSe
1.0
0.000 4.479 4.479
4.479 0.000 4.479
4.479 4.479 0.000
Se La Cu
1 4 1
Direct
0.750 0.750 0.750 Se
0.376 0.376 0.376 La
0.376 0.873 0.376 La
0.376 0.376 0.873 La
0.873 0.376 0.376 La
0.000 0.000 0.000 Cu
```

- formation energy (no corrections) (eV/f.u.) = 1.4

---

No. 8
Here is a relaxed structure of Sc3TiI from Alexandria via LeMat-Bulk. Energies are from GGA-PBE.

The structure in POSCAR format:
```
Sc3TiI
1.0
-4.051 1.801 -2.752
-3.253 -1.557 3.770
0.480 4.643 2.332
Ti I Sc
1 1 3
Direct
0.500 0.500 0.500 Ti
0.000 0.000 0.000 I
0.000 0.000 0.500 Sc
0.500 0.000 0.000 Sc
0.000 0.500 0.000 Sc
```

- formation energy (no corrections) (eV/f.u.) = 3.2

---

No. 9
Here is a relaxed structure of RbCd3Pt from Alexandria via LeMat-Bulk. Energies are from GGA-PBE.

The structure in POSCAR format:
```
RbCd3Pt
1.0
-2.672 2.411 -2.883
1.707 -4.080 -1.306
-17.417 -9.824 7.926
Rb Cd Pt
2 6 2
Direct
0.000 0.000 0.000 Rb
0.000 0.000 0.500 Rb
0.333 0.667 0.626 Cd
0.000 0.000 0.250 Cd
0.000 0.000 0.750 Cd
0.667 0.333 0.374 Cd
0.333 0.667 0.874 Cd
0.667 0.333 0.126 Cd
0.667 0.333 0.250 Pt
0.333 0.667 0.750 Pt
```

- formation energy (meV/atom) = 104

---

No. 10
Here is a relaxed structure of Cs2GeBr4 from Alexandria via LeMat-Bulk. Energies are from GGA-PBE.

The structure in POSCAR format:
```
Cs2GeBr4
1.0
-5.250 4.798 2.712
1.555 -3.563 9.311
11.113 10.860 2.300
Br Cs Ge
16 8 4
Direct
0.501 0.766 0.383 Br
0.001 0.234 0.617 Br
0.750 0.651 0.097 Br
0.750 0.546 0.670 Br
0.001 0.734 0.883 Br
0.750 0.046 0.830 Br
0.999 0.766 0.383 Br
0.250 0.849 0.597 Br
0.250 0.954 0.170 Br
0.499 0.734 0.883 Br
0.750 0.151 0.403 Br
0.999 0.266 0.117 Br
0.501 0.266 0.117 Br
0.250 0.349 0.903 Br
0.499 0.234 0.617 Br
0.250 0.454 0.330 Br
0.750 0.400 0.918 Cs
0.250 0.600 0.082 Cs
0.250 0.534 0.707 Cs
0.750 0.466 0.293 Cs
0.750 0.900 0.582 Cs
0.750 0.966 0.207 Cs
0.250 0.100 0.418 Cs
0.250 0.034 0.793 Cs
0.750 0.360 0.552 Ge
0.750 0.860 0.948 Ge
0.250 0.140 0.052 Ge
0.250 0.640 0.448 Ge
```

- formation energy (no corrections) (eV/f.u.) = -9.1

---

No. 11
Here is a relaxed structure of AcSm4Ho2 from Alexandria via LeMat-Bulk. Energies are from GGA-PBE.

The structure in POSCAR format:
```
AcSm4Ho2
1.0
8.406 1.573 1.279
0.728 9.746 -0.862
-3.815 -6.224 5.998
Sm Ho Ac
8 4 2
Direct
0.355 0.290 0.765 Sm
0.501 0.013 0.910 Sm
0.822 0.663 0.732 Sm
0.683 0.958 0.590 Sm
0.257 0.817 0.173 Sm
0.918 0.146 0.335 Sm
0.401 0.532 0.308 Sm
0.062 0.860 0.468 Sm
0.550 0.238 0.453 Ho
0.772 0.441 0.189 Ho
0.642 0.720 0.051 Ho
0.966 0.390 0.879 Ho
0.218 0.578 0.625 Ac
0.105 0.103 0.021 Ac
```

- formation energy (meV/atom) = 42

---

No. 12
Here is a relaxed structure of Pm6SmGa2 from Alexandria via LeMat-Bulk. Energies are from GGA-PBE.

The structure in POSCAR format:
```
Pm6SmGa2
1.0
-2.645 -2.291 -1.377
3.218 -5.238 -2.600
-0.262 -7.956 8.604
Pm Sm Ga
6 1 2
Direct
0.309 0.507 0.874 Pm
0.311 0.787 0.590 Pm
0.689 0.213 0.410 Pm
0.691 0.493 0.126 Pm
0.974 0.727 0.324 Pm
0.026 0.273 0.676 Pm
0.000 0.000 0.000 Sm
0.353 0.094 0.201 Ga
0.647 0.906 0.799 Ga
```

- formation energy (meV/atom) = -238